# 1
Density functional theory data (PBE) for a relaxed structure of Sb2I2Cl.

abc: 7.8421 7.8421 5.0052
angles: 90.00 90.00 90.00
With the nearest neighbours (Å) after each atom.
Space group P4/mbm (No. 127)
Unique sites:
Sb: 0.1327 0.3673 0.0000 [4 per cell]  1 Sb 2.94, 2 Cl 3.06
I: 0.1716 0.6716 0.5000 [4 per cell]  6 Sb 3.31-3.47
Cl: 0.0000 0.0000 0.0000 [2 per cell]  4 Sb 3.06

Values from the calculation:
Raw total energy = -26.7 eV for the cell shown
Formation energy without anion corrections = -0.03 eV/atom
Size of the total moment = 0.00 μB/cell
V = 30.78 A^3/atom

# 2
Density functional theory data (PBE) for a relaxed structure of SbICl2.

abc: 7.4977 6.6726 14.9492
angles: 90.00 115.58 90.00
With the nearest neighbours (Å) after each atom.
Space group P2_1/c (No. 14)
Unique sites:
Sb: 0.1786 0.0304 0.4140 [4 per cell]  2 Cl 2.43-2.44
I: 0.2310 0.2334 0.7727 [4 per cell]  1 Sb 2.80
Cl: 0.0942 0.7224 0.0839 [4 per cell]  1 Sb 2.43
Cl: 0.4239 0.2111 0.5557 [4 per cell]  1 Sb 2.44

Values from the calculation:
Raw total energy = -48.3 eV for the cell shown
Formation energy without anion corrections = -0.68 eV/atom
Size of the total moment = 0.00 μB/cell
Relative energy among the computed polymorphs = 0.0000 eV/atom
V = 42.16 A^3/atom

# 3
Density functional theory data (PBE) for a relaxed structure of SbICl2.

abc: 3.4871 3.4871 38.9247
angles: 90.00 90.00 120.00
With the nearest neighbours (Å) after each atom.
Space group R-3m (No. 166, hexagonal axes)
Unique sites:
Sb: 0.0000 0.0000 0.0000 [3 per cell]  6 Cl 2.89
I: 0.0000 0.0000 0.5000 [3 per cell]  6 I 3.49
Cl: 0.0000 0.0000 0.3865 [6 per cell]  3 Sb 2.89

Values from the calculation:
Raw total energy = -29.8 eV for the cell shown
Formation energy without anion corrections = -0.14 eV/atom
Size of the total moment = 0.00 μB/cell
Relative energy among the computed polymorphs = 0.5381 eV/atom
V = 34.16 A^3/atom

# 4
Density functional theory data (PBE) for a relaxed structure of ScSbI2Cl.

abc: 5.8620 5.8620 5.1738
angles: 90.00 90.00 90.00
With the nearest neighbours (Å) after each atom.
Space group P4/mmm (No. 123)
Unique sites:
Sc: 0.0000 0.0000 0.0000 [1 per cell]  8 I 3.91, 4 Sb 4.15
Sb: 0.5000 0.5000 0.0000 [1 per cell]  2 Cl 2.59
I: 0.0000 0.5000 0.5000 [2 per cell]  2 Cl 2.93
Cl: 0.5000 0.5000 0.5000 [1 per cell]  2 Sb 2.59

Values from the calculation:
Raw total energy = -13.0 eV for the cell shown
Formation energy without anion corrections = 0.47 eV/atom
Size of the total moment = 0.33 μB/cell
Relative energy among the computed polymorphs = 0.8352 eV/atom
V = 35.56 A^3/atom

# 5
Density functional theory data (PBE) for a relaxed structure of ScSbI2Cl.

abc: 5.5250 5.5250 5.8641
angles: 90.00 90.00 90.00
With the nearest neighbours (Å) after each atom.
Space group P4/mmm (No. 123)
Unique sites:
Sc: 0.0000 0.0000 0.0000 [1 per cell]  4 I 2.76, 2 Sb 2.93
Sb: 0.0000 0.0000 0.5000 [1 per cell]  2 Sc 2.93
I: 0.0000 0.5000 0.0000 [2 per cell]  2 Sc 2.76
Cl: 0.5000 0.5000 0.5000 [1 per cell]  4 Sb 3.91, 8 I 4.03

Values from the calculation:
Raw total energy = -17.2 eV for the cell shown
Formation energy without anion corrections = -0.36 eV/atom
Size of the total moment = 0.01 μB/cell
Relative energy among the computed polymorphs = 0.0000 eV/atom
V = 35.80 A^3/atom

# 6
Density functional theory data (PBE) for a relaxed structure of SbSeI2Cl.

abc: 5.5091 5.5091 5.6807
angles: 90.00 90.00 90.00
With the nearest neighbours (Å) after each atom.
Space group P4/mmm (No. 123)
Unique sites:
Sb: 0.0000 0.0000 0.0000 [1 per cell]  2 Cl 2.84
Se: 0.5000 0.5000 0.0000 [1 per cell]  4 Sb 3.90, 8 I 3.96
I: 0.0000 0.5000 0.5000 [2 per cell]  2 Cl 2.75
Cl: 0.0000 0.0000 0.5000 [1 per cell]  4 I 2.75, 2 Sb 2.84

Values from the calculation:
Raw total energy = -8.4 eV for the cell shown
Formation energy without anion corrections = 0.83 eV/atom
Size of the total moment = 0.00 μB/cell
Relative energy among the computed polymorphs = 0.4412 eV/atom
V = 34.48 A^3/atom